(1)
Rb6ThBr12 | the Alexandria database | PBE-GGA | optimized geometry; space group = R-3 (148)
1.0
-8.390 -4.553 1.638
5.866 -6.437 4.237
-0.487 6.365 7.283
Br Th Rb
12 1 6
direct
0.983 0.059 0.294
0.941 0.706 0.017
0.421 0.533 0.851
0.294 0.983 0.059
0.017 0.941 0.706
0.706 0.017 0.941
0.533 0.851 0.421
0.851 0.421 0.533
0.579 0.467 0.149
0.467 0.149 0.579
0.059 0.294 0.983
0.149 0.579 0.467
0.000 0.000 0.000
0.717 0.375 0.840
0.375 0.840 0.717
0.283 0.625 0.160
0.625 0.160 0.283
0.840 0.717 0.375
0.160 0.283 0.625

(2)
RbThBr2 | the Alexandria database | PBE-GGA | optimized geometry; space group = R-3m (166)
1.0
3.848 0.000 0.000
1.924 3.333 0.000
1.924 1.111 11.217
Rb Br Th
1 2 1
direct
0.000 0.000 0.000
0.102 0.102 0.693
0.898 0.898 0.307
0.500 0.500 0.500

(3)
RbThBr5 | the Alexandria database | PBE-GGA | optimized geometry; space group = Imm2 (44)
1.0
-5.539 1.266 -1.490
-2.371 -4.626 -6.696
-5.212 -6.182 2.544
Br Th Rb
5 1 1
direct
0.004 0.500 0.500
0.283 0.722 0.722
0.504 0.789 0.211
0.504 0.211 0.789
0.727 0.278 0.278
0.504 0.500 0.500
0.004 0.000 0.000

(4)
RbThBr6 | the Alexandria database | PBE-GGA | optimized geometry; relative energy among the computed polymorphs = 21.2 kJ/mol of formula units; space group = P-1 (2)
1.0
4.936 0.019 1.714
1.773 7.583 2.925
-0.247 -0.279 8.785
Rb Br Th
1 6 1
direct
0.000 0.000 0.000
0.432 0.851 0.283
0.725 0.292 0.263
0.568 0.149 0.717
0.074 0.560 0.294
0.275 0.708 0.737
0.926 0.440 0.706
0.500 0.500 0.500

(5)
RbThBr6 | the Alexandria database | PBE-GGA | optimized geometry; relative energy among the computed polymorphs = 0.0 kJ/mol of formula units; space group = C2/m (12)
1.0
6.952 -0.634 -0.521
-0.110 6.980 -0.521
1.397 1.296 6.576
Br Th Rb
6 1 1
direct
0.282 0.899 0.707
0.712 0.712 0.922
0.718 0.101 0.293
0.288 0.288 0.078
0.899 0.282 0.707
0.101 0.718 0.293
0.000 0.000 0.000
0.500 0.500 0.500

(6)
RbThTlBr6 | the Alexandria database | PBE-GGA | optimized geometry; space group = P-31c (163)
1.0
-2.860 -6.777 -3.945
1.590 -0.297 8.189
-12.313 3.726 2.526
Rb Tl Br Th
2 2 12 2
direct
0.333 0.667 0.250
0.667 0.333 0.750
0.000 0.000 0.500
0.000 0.000 0.000
0.327 0.944 0.625
0.673 0.617 0.125
0.944 0.617 0.375
0.617 0.673 0.625
0.383 0.056 0.125
0.673 0.056 0.375
0.327 0.383 0.875
0.056 0.383 0.625
0.617 0.944 0.875
0.383 0.327 0.375
0.056 0.673 0.875
0.944 0.327 0.125
0.333 0.667 0.750
0.667 0.333 0.250

(7)
Rb2ThTlBr8 | the Alexandria database | PBE-GGA | optimized geometry; space group = P-1 (2)
1.0
8.255 -0.070 -0.023
-0.090 6.612 0.025
-0.020 0.053 9.583
Br Rb Th Tl
8 2 1 1
direct
0.659 0.880 0.501
0.341 0.120 0.499
0.880 0.251 0.780
0.302 0.220 0.003
0.125 0.752 0.785
0.875 0.248 0.215
0.698 0.780 0.997
0.120 0.749 0.220
0.500 0.504 0.258
0.500 0.496 0.742
0.000 0.000 0.000
0.000 0.000 0.500

(8)
Rb2TiBr4 | the Alexandria database | PBE-GGA | optimized geometry; relative energy among the computed polymorphs = 0.0 kJ/mol of formula units; space group = I4/mmm (139)
1.0
-1.440 4.328 -2.734
-4.537 -2.394 -1.401
-6.854 4.150 5.007
Rb Br Ti
2 4 1
direct
0.642 0.642 0.716
0.358 0.358 0.284
0.842 0.842 0.315
0.158 0.158 0.685
0.500 0.000 0.000
0.000 0.500 0.000
0.000 0.000 0.000

(9)
Rb2TiBr4 | the Alexandria database | PBE-GGA | optimized geometry; relative energy among the computed polymorphs = 17.8 kJ/mol of formula units; space group = C2/m (12)
1.0
-0.138 3.534 2.419
2.247 -4.835 7.193
4.478 2.467 -7.145
Br Rb Ti
4 2 1
direct
0.056 0.784 0.113
0.361 0.769 0.722
0.639 0.231 0.278
0.944 0.216 0.887
0.662 0.648 0.325
0.338 0.352 0.675
0.000 0.000 0.000

(10)
Rb2TiBr | the Alexandria database | PBE-GGA | optimized geometry; relative energy among the computed polymorphs = 0.0 kJ/mol of formula units; space group = I-42d (122)
1.0
9.806 0.000 0.000
0.000 9.806 0.000
4.903 4.903 4.509
Rb Br Ti
4 2 2
direct
0.071 0.625 0.250
0.375 0.321 0.750
0.679 0.125 0.250
0.875 0.929 0.750
0.750 0.250 0.500
0.000 0.000 0.000
0.500 0.500 0.000
0.250 0.750 0.500

(11)
Rb3Ti2Br9 | the Alexandria database | PBE-GGA | optimized geometry; space group = R-3c (167)
1.0
-0.461 4.421 -8.910
-9.583 2.692 0.262
1.264 9.401 3.029
Br Rb Ti
18 6 4
direct
0.589 0.911 0.750
0.750 0.589 0.911
0.737 0.903 0.066
0.403 0.237 0.566
0.097 0.934 0.263
0.903 0.066 0.737
0.911 0.750 0.589
0.434 0.597 0.763
0.763 0.434 0.597
0.934 0.263 0.097
0.566 0.403 0.237
0.066 0.737 0.903
0.597 0.763 0.434
0.411 0.089 0.250
0.089 0.250 0.411
0.263 0.097 0.934
0.250 0.411 0.089
0.237 0.566 0.403
0.908 0.592 0.250
0.250 0.908 0.592
0.750 0.092 0.408
0.592 0.250 0.908
0.408 0.750 0.092
0.092 0.408 0.750
0.833 0.833 0.833
0.167 0.167 0.167
0.333 0.333 0.333
0.667 0.667 0.667

(12)
RbTiBr3 | the Alexandria database | PBE-GGA | optimized geometry; space group = Pm-3m (221)
1.0
5.369 0.000 0.000
0.000 5.369 0.000
0.000 0.000 5.369
Rb Ti Br
1 1 3
direct
0.500 0.500 0.500
0.000 0.000 0.000
0.000 0.500 0.000
0.000 0.000 0.500
0.500 0.000 0.000

(13)
Rb2TiBr5 | the Alexandria database | PBE-GGA | optimized geometry; relative energy among the computed polymorphs = 0.0 kJ/mol of formula units; space group = Pnma (62)
1.0
7.506 0.000 0.000
0.000 9.686 0.000
0.000 0.000 15.409
Rb Br Ti
8 20 4
direct
0.750 0.821 0.585
0.250 0.453 0.698
0.250 0.679 0.085
0.750 0.047 0.198
0.250 0.179 0.415
0.250 0.953 0.802
0.750 0.547 0.302
0.750 0.321 0.915
0.494 0.842 0.391
0.000 0.500 0.500
0.006 0.342 0.109
0.500 0.500 0.500
0.250 0.540 0.301
0.506 0.658 0.891
0.000 0.000 0.000
0.494 0.342 0.109
0.750 0.460 0.699
0.506 0.158 0.609
0.750 0.960 0.801
0.750 0.219 0.401
0.750 0.719 0.099
0.006 0.842 0.391
0.250 0.040 0.199
0.994 0.158 0.609
0.994 0.658 0.891
0.250 0.281 0.901
0.250 0.781 0.599
0.500 0.000 0.000
0.750 0.318 0.559
0.250 0.182 0.059
0.750 0.818 0.941
0.250 0.682 0.441

(14)
RbTiBr3 | the Alexandria database | PBE-GGA | optimized geometry; space group = P6_3/mmc (194)
1.0
5.906 0.000 0.000
0.000 7.798 0.000
0.000 -3.899 6.753
Rb Ti Br
2 2 6
direct
0.250 0.333 0.667
0.750 0.667 0.333
0.500 0.000 0.000
0.000 0.000 0.000
0.750 0.165 0.331
0.250 0.835 0.669
0.750 0.165 0.835
0.250 0.331 0.165
0.250 0.835 0.165
0.750 0.669 0.835

(15)
Rb2Ti2Br7 | the Alexandria database | PBE-GGA | optimized geometry; space group = C2/m (12)
1.0
7.521 -0.201 -0.290
-0.970 8.660 -1.332
-0.970 -4.288 7.640
Br Ti Rb
7 2 2
direct
0.746 0.555 0.555
0.216 0.616 0.912
0.000 0.000 0.000
0.784 0.384 0.088
0.254 0.445 0.445
0.784 0.088 0.384
0.216 0.912 0.616
0.087 0.689 0.689
0.913 0.311 0.311
0.500 0.692 0.308
0.500 0.308 0.692

(16)
RbTi2Br8 | the Alexandria database | PBE-GGA | optimized geometry; relative energy among the computed polymorphs = 3.2 kJ/mol of formula units; space group = C2/m (12)
1.0
-3.190 7.418 2.077
-7.595 -1.878 3.110
-0.938 -0.483 8.353
Rb Br Ti
1 8 2
direct
0.000 0.000 0.000
0.822 0.632 0.632
0.610 0.179 0.179
0.236 0.904 0.349
0.764 0.651 0.096
0.178 0.368 0.368
0.390 0.821 0.821
0.764 0.096 0.651
0.236 0.349 0.904
0.684 0.799 0.799
0.316 0.201 0.201

(17)
RbTi2Br8 | the Alexandria database | PBE-GGA | optimized geometry; relative energy among the computed polymorphs = 0.0 kJ/mol of formula units; space group = P-3 (147)
1.0
-6.394 -0.466 4.489
-3.395 -5.606 -5.419
4.764 -2.717 6.503
Br Ti Rb
8 2 1
direct
0.700 0.818 0.180
0.106 0.667 0.333
0.700 0.362 0.182
0.300 0.638 0.818
0.300 0.182 0.820
0.894 0.333 0.667
0.700 0.820 0.638
0.300 0.180 0.362
0.196 0.333 0.667
0.804 0.667 0.333
0.000 0.000 0.000

(18)
Rb3Ti2Br7 | the Alexandria database | PBE-GGA | optimized geometry; space group = Cmmm (65)
1.0
-1.451 -4.558 2.193
0.140 -2.371 -4.834
13.427 -2.139 4.439
Rb Br Ti
3 7 2
direct
0.500 0.500 0.000
0.500 0.319 0.638
0.500 0.681 0.362
0.000 0.595 0.190
0.500 0.904 0.808
0.000 0.806 0.612
0.000 0.000 0.000
0.000 0.405 0.810
0.000 0.194 0.388
0.500 0.096 0.192
0.000 0.901 0.803
0.000 0.099 0.197

(19)
Rb2TiBr5 | the Alexandria database | PBE-GGA | optimized geometry; relative energy among the computed polymorphs = 7.8 kJ/mol of formula units; space group = I4mm (107)
1.0
8.124 -0.001 0.000
0.000 8.122 -0.001
-4.062 -4.059 4.736
Rb Br Ti
2 5 1
direct
0.265 0.765 0.529
0.765 0.265 0.529
0.802 0.238 0.040
0.238 0.802 0.040
0.238 0.238 0.040
0.708 0.708 0.417
0.802 0.802 0.041
0.959 0.959 0.918

(20)
RbTi2Br7 | the Alexandria database | PBE-GGA | optimized geometry; space group = Cmmm (65)
1.0
-3.546 -0.696 -3.637
3.210 -7.310 -1.732
-5.876 0.335 5.666
Br Ti Rb
7 2 1
direct
0.500 0.668 0.954
0.000 0.302 0.698
0.500 0.954 0.668
0.500 0.500 0.500
0.500 0.332 0.046
0.500 0.046 0.332
0.000 0.698 0.302
0.500 0.699 0.301
0.500 0.301 0.699
0.000 0.000 0.000

(21)
Rb2TiBr7 | the Alexandria database | PBE-GGA | optimized geometry; space group = I4/mmm (139)
1.0
-7.648 0.237 -3.724
-3.177 -4.868 6.215
-6.654 2.110 4.077
Br Ti Rb
7 1 2
direct
0.000 0.000 0.000
0.262 0.262 0.477
0.291 0.709 0.000
0.738 0.738 0.523
0.709 0.291 0.000
0.709 0.709 0.000
0.291 0.291 0.000
0.500 0.500 0.000
0.250 0.750 0.500
0.750 0.250 0.500

ΔE_f (raw) readings, ordered: -146 -99 -167 -136 -138 -152 -137 -137 -134 19 -141 -122 -142 -130 -123 -123 -123 -129 -141 -112 -113 kJ/mol of atoms
N(E_F) readings, ordered: 7.35 2.73 0.00 7.89 10.53 0.00 3.27 4.24 4.90 0.00 8.43 4.99 5.55 2.90 0.80 9.20 8.86 9.87 2.70 4.72 2.44 states/eV/f.u.